Entry 1:
## FeHIrRu2 (GGA-PBE)

Data for a relaxed structure of FeHIrRu2.

a b c (Å): 3.824 3.824 3.797
angles (deg): 90.00 90.00 90.00
Sites, in units of the cell vectors:
H 0.000 0.000 0.000
Ru 0.000 0.500 0.000
Ru 0.500 0.000 0.000
Fe 0.000 0.000 0.500
Ir 0.500 0.500 0.500

Values from the calculation:
Raw total energy: -38.8 eV per cell
Space-group type: No. 123


Entry 2:
## ScFeHIr2 (GGA-PBE)

Data for a relaxed structure of ScFeHIr2.

a b c (Å): 4.029 4.029 3.825
angles (deg): 90.00 90.00 90.00
Sites, in units of the cell vectors:
H 0.000 0.000 0.000
Sc 0.500 0.500 0.500
Fe 0.000 0.000 0.500
Ir 0.000 0.500 0.000
Ir 0.500 0.000 0.000

Values from the calculation:
Raw total energy: -37.5 eV per cell
Space-group type: No. 123


Entry 3:
## FeSnHIr2 (GGA-PBE)

Data for a relaxed structure of FeSnHIr2.

a b c (Å): 4.050 4.050 3.897
angles (deg): 90.00 90.00 90.00
Sites, in units of the cell vectors:
H 0.000 0.000 0.000
Ir 0.000 0.500 0.000
Ir 0.500 0.000 0.000
Sn 0.500 0.500 0.500
Fe 0.000 0.000 0.500

Values from the calculation:
Raw total energy: -33.3 eV per cell
Space-group type: No. 123


Entry 4:
## Fe2SnHIr (GGA-PBE)

Data for a relaxed structure of Fe2SnHIr.

a b c (Å): 3.881 3.881 4.011
angles (deg): 90.00 90.00 90.00
Sites, in units of the cell vectors:
Ir 0.000 0.000 0.500
Fe 0.500 0.000 0.000
Fe 0.000 0.500 0.000
Sn 0.500 0.500 0.500
H 0.000 0.000 0.000

Values from the calculation:
Raw total energy: -32.9 eV per cell
Space-group type: No. 123


Entry 5:
## Sr2FeHIr (GGA-PBE)

Data for a relaxed structure of Sr2FeHIr.

a b c (Å): 5.634 3.215 5.634
angles (deg): 90.00 90.00 90.00
Sites, in units of the cell vectors:
Sr 0.000 0.000 0.500
Sr 0.500 0.000 0.000
Ir 0.500 0.500 0.500
H 0.000 0.500 0.000
Fe 0.000 0.000 0.000

Values from the calculation:
Raw total energy: -21.4 eV per cell
Space-group type: No. 123


Entry 6:
## Fe2TcHIr (GGA-PBE)

Data for a relaxed structure of Fe2TcHIr.

a b c (Å): 3.743 3.743 3.720
angles (deg): 90.00 90.00 90.00
Sites, in units of the cell vectors:
Fe 0.000 0.500 0.000
Fe 0.500 0.000 0.000
Tc 0.500 0.500 0.500
Ir 0.000 0.000 0.500
H 0.000 0.000 0.000

Values from the calculation:
Raw total energy: -39.1 eV per cell
Space-group type: No. 123
Excess energy over the best structure of this formula in the dataset: 38 meV per atom